! TmPu4N5 (GGA-PBE, optimized geometry); values from VASP
! - Magnetic moment: 1.910 μB per atom
! - Uncorrected formation energy: -1.357 eV per atom
! - Calculated total energy: -116.996 eV for the cell shown
! - Volume: 14.77 Å³ per atom
&SYSTEM
  ibrav = 0, nat = 10, ntyp = 3
/
ATOMIC_SPECIES
Pu 244.00 Pu.upf
N 14.01 N.upf
Tm 168.93 Tm.upf
CELL_PARAMETERS angstrom
1.202 2.097 4.275
0.230 -3.822 4.631
5.906 0.115 1.104
ATOMIC_POSITIONS angstrom
Pu 5.304 -0.591 4.446
Pu 2.036 -1.014 5.572
N 1.444 -2.063 3.433
Pu 2.644 -0.291 2.226
N 0.602 1.051 2.141
N 5.896 0.459 6.585
Tm 0.001 0.002 0.005
N 3.245 0.749 4.367
Pu 4.696 -1.314 7.792
N 4.095 -2.354 5.651